Ba3C: optimized geometry, PBE.

Output
**D(E_F)**: 1.01 states/eV/atom
**Energy relative to the elements**: 0.377 eV/atom
**ΔE to the lowest computed polymorph**: 0.000 eV/f.u.
**DFT total energy**: -3.3714 eV/atom

```
Ba3C
1.0
7.7681 0.0000 0.0000
0.0000 7.3783 0.0000
0.0000 0.0000 13.4534
Ba C
12 4
direct
0.6141 0.2193 0.8871
0.3859 0.7807 0.1129
0.9757 0.7848 0.2500
0.0243 0.2152 0.7500
0.8859 0.7193 0.8871
0.1141 0.2807 0.1129
0.8859 0.7193 0.6129
0.6141 0.2193 0.6129
0.3859 0.7807 0.3871
0.5243 0.2848 0.2500
0.4757 0.7152 0.7500
0.1141 0.2807 0.3871
0.7506 0.4645 0.7500
0.2506 0.0355 0.2500
0.7494 0.9645 0.7500
0.2494 0.5355 0.2500
```